{
  "formula": "VNiRu2",
  "functional": "PBE-GGA",
  "state": "optimized geometry",
  "lattice": [[-0.114, 1.293, 3.372], [-2.080, -2.979, 1.072], [3.164, -1.907, 0.838]],
  "species": ["Ru", "Ru", "V", "Ni"],
  "fractional_positions": [[0.000, 0.000, 0.500], [0.000, 0.500, 0.000], [0.500, 0.500, 0.500], [0.500, 0.000, 0.000]],
  "dos_ef_per_ev_cell": 3.800,
  "formation_energy_mev_per_atom": -164.5,
  "dft_energy_ev_per_fu": -34.11
}